KDyH2S2O9 | PBE | optimized geometry

Calculated values
DFT total energy = -374.2 eV/cell
DOS(E_F) = 0.00 states/eV/f.u.
total magnetization = 0.00 μB per cell
calculated volume = 778.23 Å³ per cell
crystal system = monoclinic

Unit cell a=10.1994 b=8.3666 c=10.4793 alpha=90.00 beta=119.51 gamma=90.00
Last column: nearest neighbours and their distance in Å.
Fractional positions:
K  0.2059  0.1714  0.1893  5 O 2.72-2.92
K  0.2059  0.3286  0.6893  5 O 2.72-2.92
K  0.7941  0.6714  0.3107  5 O 2.72-2.92
K  0.7941  0.8286  0.8107  5 O 2.72-2.92
Dy  0.2534  0.6454  0.0381  8 O 2.31-2.50
Dy  0.2534  0.8546  0.5381  8 O 2.31-2.50
Dy  0.7466  0.1454  0.4619  8 O 2.31-2.50
Dy  0.7466  0.3546  0.9619  8 O 2.31-2.50
H  0.3255  0.5079  0.4884  1 O 0.99
H  0.3255  0.9921  0.9884  1 O 0.99
H  0.4369  0.5569  0.6490  1 O 0.99
H  0.4369  0.9431  0.1490  1 O 0.99
H  0.5631  0.0569  0.8510  1 O 0.99
H  0.5631  0.4431  0.3510  1 O 0.99
H  0.6745  0.0079  0.0116  1 O 0.99
H  0.6745  0.4921  0.5116  1 O 0.99
S  0.0541  0.6328  0.1809  4 O 1.48-1.51
S  0.0541  0.8672  0.6809  4 O 1.48-1.51
S  0.4913  0.2068  0.5967  4 O 1.47-1.50
S  0.4913  0.2932  0.0967  4 O 1.47-1.50
S  0.5087  0.7068  0.9033  4 O 1.47-1.50
S  0.5087  0.7932  0.4033  4 O 1.47-1.50
S  0.9459  0.1328  0.3191  4 O 1.48-1.51
S  0.9459  0.3672  0.8191  4 O 1.48-1.51
O  0.0580  0.7445  0.5777  1 S 1.51
O  0.0580  0.7555  0.0777  1 S 1.51
O  0.0839  0.7076  0.3207  1 S 1.48
O  0.0839  0.7924  0.8207  1 S 1.48
O  0.0979  0.0574  0.3848  1 S 1.49
O  0.0979  0.4426  0.8848  1 S 1.49
O  0.1709  0.5130  0.2012  1 S 1.49
O  0.1709  0.9870  0.7012  1 S 1.49
O  0.3347  0.5787  0.5675  2 H 0.99
O  0.3347  0.9213  0.0675  2 H 0.99
O  0.3790  0.6266  0.9063  1 S 1.50
O  0.3790  0.8734  0.4063  1 S 1.50
O  0.3958  0.2070  0.9600  1 S 1.47
O  0.3958  0.2930  0.4600  1 S 1.47
O  0.4032  0.0854  0.6279  1 S 1.49
O  0.4032  0.4146  0.1279  1 S 1.49
O  0.4470  0.6804  0.2761  1 S 1.50
O  0.4470  0.8196  0.7761  1 S 1.50
O  0.5530  0.1804  0.2239  1 S 1.50
O  0.5530  0.3196  0.7239  1 S 1.50
O  0.5968  0.5854  0.8721  1 S 1.49
O  0.5968  0.9146  0.3721  1 S 1.49
O  0.6042  0.7070  0.5400  1 S 1.47
O  0.6042  0.7930  0.0400  1 S 1.47
O  0.6210  0.1266  0.5937  1 S 1.50
O  0.6210  0.3734  0.0937  1 S 1.50
O  0.6653  0.0787  0.9325  2 H 0.99
O  0.6653  0.4213  0.4325  2 H 0.99
O  0.8291  0.0130  0.2988  1 S 1.49
O  0.8291  0.4870  0.7988  1 S 1.49
O  0.9021  0.5574  0.1152  1 S 1.49
O  0.9021  0.9426  0.6152  1 S 1.49
O  0.9161  0.2076  0.1793  1 S 1.48
O  0.9161  0.2924  0.6793  1 S 1.48
O  0.9420  0.2445  0.9223  1 S 1.51
O  0.9420  0.2555  0.4223  1 S 1.51